DFT (PBE-GGA) results for crystalline Li2CeSn3 at its relaxed geometry.

It has space group P6_3/mmc (No. 194), with a = 4.8931 Å, b = 4.8931 Å, c = 13.7362 Å, α = 90.00°, β = 90.00° and γ = 120.00°. The asymmetric unit holds Li at (0.3333, 0.6667, 0.0913), Ce at (0.0000, 0.0000, 0.2500), Sn at (0.0000, 0.0000, 0.0000) and Sn at (0.3333, 0.6667, 0.6346).

The magnetization is 1.5 μB/cell. The calculation puts the density of states at the Fermi level at 6.8 states/eV/f.u. The formation energy from the elements comes out at -0.41 eV per atom.

=====

DFT (PBE-GGA) results for crystalline Al2FeTe at its relaxed geometry.

It has space group P4mm (No. 99), with a = 3.0527 Å, b = 3.0527 Å, c = 7.7002 Å, α = 90.00°, β = 90.00° and γ = 90.00°. The asymmetric unit holds Al at (0.0000, 0.0000, 0.0000), Al at (0.5000, 0.5000, 0.2375), Fe at (0.0000, 0.0000, 0.4222) and Te at (0.5000, 0.5000, 0.6208).

The magnetization is 0.9 μB/cell. Its total energy is -18.58 eV/cell. The calculation puts the density of states at the Fermi level at 1.8 states/eV/f.u.

=====

DFT (PBE-GGA) results for crystalline Sr2AsIr at its relaxed geometry.

It has space group P4/mmm (No. 123), with a = 3.4607 Å, b = 3.4607 Å, c = 8.4376 Å, α = 90.00°, β = 90.00° and γ = 90.00°. The asymmetric unit holds Sr at (0.0000, 0.0000, 0.2264), As at (0.5000, 0.5000, 0.5000) and Ir at (0.5000, 0.5000, 0.0000).

The magnetization is 0.0 μB/cell. The calculation puts the density of states at the Fermi level at 2.7 states/eV/f.u. The formation energy from the elements comes out at -0.31 eV per atom.

=====

DFT (PBE-GGA) results for crystalline Pa5Rh at its relaxed geometry.

It has space group Cmmm (No. 65), with a = 4.1595 Å, b = 15.8621 Å, c = 4.1401 Å, α = 90.00°, β = 90.00° and γ = 90.00°. The asymmetric unit holds Pa at (0.0000, 0.0000, 0.0000), Pa at (0.0000, 0.1644, 0.5000), Pa at (0.0000, 0.3294, 0.0000) and Rh at (0.0000, 0.5000, 0.5000).

The magnetization is 0.0 μB/cell. The calculation puts the distance to the lowest polymorph of the same formula at 0.59 eV/f.u. The calculation puts the density of states at the Fermi level at 11.0 states/eV/f.u. The formation energy from the elements comes out at -0.08 eV per atom.

=====

Copy entry 3 word for word.
DFT (PBE-GGA) results for crystalline Sr2AsIr at its relaxed geometry.

It has space group P4/mmm (No. 123), with a = 3.4607 Å, b = 3.4607 Å, c = 8.4376 Å, α = 90.00°, β = 90.00° and γ = 90.00°. The asymmetric unit holds Sr at (0.0000, 0.0000, 0.2264), As at (0.5000, 0.5000, 0.5000) and Ir at (0.5000, 0.5000, 0.0000).

The magnetization is 0.0 μB/cell. The calculation puts the density of states at the Fermi level at 2.7 states/eV/f.u. The formation energy from the elements comes out at -0.31 eV per atom.

=====

> Number 4 is which compound?

Pa5Rh

=====

> What is the formula in the third record?

Sr2AsIr

=====

> Look up the magnetization of the first one.

1.5 μB/cell